# 1
# La4Sb2TeP | Alexandria | PBE | optimized geometry
# Size of the total moment (μB/f.u.): 0.00
# Formation energy without anion corrections (meV/atom): -1438
# Space-group type: No. 10
data_La4Sb2TeP
_space_group_name_H-M_alt 'P 1'
_space_group_IT_number 1
_cell_length_a 7.822
_cell_length_b 4.520
_cell_length_c 7.874
_cell_angle_alpha 90.00
_cell_angle_beta 109.32
_cell_angle_gamma 90.00
loop_
_space_group_symop_operation_xyz
'x,y,z'
loop_
_atom_site_label
_atom_site_fract_x
_atom_site_fract_y
_atom_site_fract_z
La1 0.237 0.000 0.233
La2 0.246 0.500 0.763
La3 0.754 0.500 0.237
La4 0.763 0.000 0.767
Sb1 0.500 0.000 0.000
Sb2 0.500 0.500 0.500
Te1 0.000 0.000 0.500
P1 0.000 0.500 0.000

# 2
# LaThSbP | Alexandria | PBE | optimized geometry
# Size of the total moment (μB/f.u.): 0.00
# Formation energy without anion corrections (meV/atom): -1327
# Space-group type: No. 160
data_LaThSbP
_space_group_name_H-M_alt 'P 1'
_space_group_IT_number 1
_cell_length_a 7.710
_cell_length_b 7.710
_cell_length_c 7.710
_cell_angle_alpha 32.67
_cell_angle_beta 32.67
_cell_angle_gamma 32.67
loop_
_space_group_symop_operation_xyz
'x,y,z'
loop_
_atom_site_label
_atom_site_fract_x
_atom_site_fract_y
_atom_site_fract_z
La1 0.000 0.000 0.000
Th1 0.517 0.517 0.517
Sb1 0.761 0.761 0.761
P1 0.255 0.255 0.255